Entry 1:
KYC | GGA-PBE | optimized geometry

ΔH_f (0 K)   47 kJ per mole of atoms
Mass density   2.44 Mg/m³
Relative energy among the computed polymorphs   555 meV per atom

Structure (CIF):
```
data_KYC
_space_group_name_H-M_alt 'P n m a'
_space_group_IT_number 62
_space_group_name_Hall '-P 2ac 2n'
_cell_length_a 7.109
_cell_length_b 3.965
_cell_length_c 13.549
_cell_angle_alpha 90.00
_cell_angle_beta 90.00
_cell_angle_gamma 90.00
loop_
_atom_site_label
_atom_site_fract_x
_atom_site_fract_y
_atom_site_fract_z
K1 0.079 0.250 0.107
Y1 0.071 0.750 0.408
C1 0.178 0.250 0.478
```


Entry 2:
MnAuSeN2 | GGA-PBE | optimized geometry

Mass density   5.52 Mg/m³
E_form (uncorrected)   2.092 eV per atom
Relative energy among the computed polymorphs   1450 meV per atom

Structure (CIF):
```
data_MnAuSeN2
_space_group_name_H-M_alt 'P 4/m m m'
_space_group_IT_number 123
_space_group_name_Hall '-P 4 2'
_cell_length_a 3.756
_cell_length_b 3.756
_cell_length_c 7.647
_cell_angle_alpha 90.00
_cell_angle_beta 90.00
_cell_angle_gamma 90.00
loop_
_atom_site_label
_atom_site_fract_x
_atom_site_fract_y
_atom_site_fract_z
Mn1 0.000 0.000 0.000
Au1 0.500 0.500 0.500
Se1 0.500 0.500 0.000
N1 0.000 0.500 0.500
```